A relaxed Pm5HoHg6 crystal, computed with GGA-PBE.

```
Pm5HoHg6
1.0
5.348 0.000 0.000
0.000 7.633 0.000
-2.660 0.000 8.037
Pm Ho Hg
5 1 6
Cartesian
0.000 0.000 0.000 Pm
0.010 0.000 5.328 Pm
0.010 3.817 5.360 Pm
2.679 3.817 2.677 Pm
2.679 0.000 2.710 Pm
0.000 3.817 0.000 Ho
0.004 1.941 2.622 Hg
0.004 5.692 2.622 Hg
2.674 1.963 0.000 Hg
2.674 5.670 0.000 Hg
2.684 1.941 5.416 Hg
2.684 5.692 5.416 Hg
```

Computed properties:
* ΔH_f (0 K): -472.7 meV per atom

***

A relaxed MnB2WSe crystal, computed with GGA-PBE.

```
MnB2WSe
1.0
4.128 0.000 0.000
0.000 4.128 0.000
0.000 0.000 4.960
Mn B W Se
1 2 1 1
Cartesian
0.000 0.000 0.000 Mn
0.000 2.064 2.480 B
2.064 0.000 2.480 B
2.064 2.064 2.480 W
2.064 2.064 0.000 Se
```

Computed properties:
* formation energy (no corrections): 8.188 eV/f.u.

***

A relaxed TaTlIO2 crystal, computed with GGA-PBE.

```
TaTlIO2
1.0
4.245 0.000 0.000
0.000 4.245 0.000
0.000 0.000 6.157
Ta Tl I O
1 1 1 2
Cartesian
0.000 0.000 0.000 Ta
2.123 2.123 3.079 Tl
2.123 2.123 0.000 I
0.000 2.123 3.079 O
2.123 0.000 3.079 O
```

Computed properties:
* formation energy (no corrections): 4.448 eV/f.u.
* energy above the lowest structure with this stoichiometry: 1.972 eV per atom

***

A relaxed Hf5Cu crystal, computed with GGA-PBE.

```
Hf5Cu
1.0
2.475 -7.808 0.000
2.475 7.808 0.000
0.000 0.000 3.222
Hf Cu
5 1
Cartesian
0.000 0.000 0.000 Hf
2.475 4.898 1.611 Hf
2.475 2.172 0.000 Hf
2.475 -2.172 0.000 Hf
2.475 -4.898 1.611 Hf
2.475 0.000 1.611 Cu
```

Computed properties:
* ΔH_f (0 K): 16.1 meV per atom

***

A relaxed SrMg7Zn5 crystal, computed with GGA-PBE.

```
SrMg7Zn5
1.0
-2.789 4.875 4.902
2.789 -4.875 4.902
2.789 4.875 -4.902
Sr Mg Zn
1 7 5
Cartesian
0.000 0.000 0.000 Sr
2.789 2.055 0.022 Mg
2.789 0.000 2.255 Mg
0.000 0.000 3.482 Mg
0.000 3.416 0.095 Mg
0.000 0.000 6.439 Mg
0.000 6.334 0.095 Mg
0.000 2.820 4.924 Mg
-1.391 2.492 2.496 Zn
1.391 2.492 2.496 Zn
0.000 4.875 2.787 Zn
-1.391 7.258 2.496 Zn
1.391 7.258 2.496 Zn
```

Computed properties:
* ΔH_f (0 K): -123.4 meV per atom

***

A relaxed CaCeTlZn crystal, computed with GGA-PBE.

```
CaCeTlZn
1.0
0.000 3.790 3.790
3.790 0.000 3.790
3.790 3.790 0.000
Ca Ce Tl Zn
1 1 1 1
Cartesian
0.000 0.000 0.000 Ca
3.790 3.790 3.790 Ce
5.686 5.686 5.686 Tl
1.895 1.895 1.895 Zn
```

Computed properties:
* ΔH_f (0 K): -268.9 meV per atom

***

A relaxed MnTl2InSe4 crystal, computed with GGA-PBE.

```
MnTl2InSe4
1.0
-4.114 4.207 5.906
4.114 -4.207 5.906
4.114 4.207 -5.906
Mn Tl In Se
2 4 2 8
Cartesian
-2.057 2.104 2.953 Mn
2.057 2.104 2.953 Mn
0.000 0.000 0.000 Tl
2.057 2.104 -2.953 Tl
2.057 -2.104 2.953 Tl
0.000 4.207 0.000 Tl
4.114 0.000 0.000 In
0.000 0.000 5.906 In
2.235 2.104 0.234 Se
5.993 2.104 0.234 Se
4.114 0.341 2.825 Se
0.000 0.341 3.081 Se
4.114 3.866 2.825 Se
0.000 3.866 3.081 Se
-1.879 2.104 5.672 Se
1.879 2.104 5.672 Se
```

Computed properties:
* formation energy (no corrections): -3.278 eV/f.u.

***

A relaxed EuZnHgPb crystal, computed with GGA-PBE.

```
EuZnHgPb
1.0
0.000 3.739 3.739
3.739 0.000 3.739
3.739 3.739 0.000
Eu Zn Hg Pb
1 1 1 1
Cartesian
0.000 0.000 0.000 Eu
5.608 5.608 5.608 Zn
1.869 1.869 1.869 Hg
3.739 3.739 3.739 Pb
```

Computed properties:
* ΔH_f (0 K): -283.9 meV per atom

***

A relaxed Hf4NbSb crystal, computed with GGA-PBE.

```
Hf4NbSb
1.0
-4.745 4.745 3.601
4.745 -4.745 3.601
4.745 4.745 -3.601
Hf Nb Sb
8 2 2
Cartesian
0.000 1.822 0.000 Hf
2.401 0.000 1.413 Hf
7.089 0.000 1.413 Hf
4.745 2.401 -0.387 Hf
0.000 2.344 3.214 Hf
-1.822 4.745 1.801 Hf
1.822 4.745 1.801 Hf
0.000 7.667 0.000 Hf
4.745 0.000 0.357 Nb
0.000 0.000 2.158 Nb
4.745 0.000 3.200 Sb
0.000 0.000 5.000 Sb
```

Computed properties:
* formation energy (no corrections): 3.752 eV/f.u.

***

A relaxed Li4DyY3Te8 crystal, computed with GGA-PBE.

```
Li4DyY3Te8
1.0
4.343 2.508 7.066
-4.343 2.508 7.066
0.000 -5.015 7.066
Li Dy Y Te
4 1 3 8
Cartesian
0.000 0.000 0.000 Li
-2.172 -1.254 7.066 Li
-2.172 1.254 14.131 Li
0.000 2.508 7.066 Li
0.000 0.000 10.599 Dy
-4.343 0.000 10.599 Y
-2.172 1.254 3.533 Y
2.172 1.254 3.533 Y
0.000 -2.505 8.793 Te
-2.169 1.252 8.793 Te
0.000 0.000 5.340 Te
-2.169 -1.252 12.404 Te
2.169 1.252 8.793 Te
0.000 0.000 15.857 Te
2.169 -1.252 12.404 Te
0.000 2.505 12.404 Te
```

Computed properties:
* formation energy (no corrections): -20.848 eV/f.u.

***

A relaxed KErPt4 crystal, computed with GGA-PBE.

```
KErPt4
1.0
0.000 3.863 3.863
3.863 0.000 3.863
3.863 3.863 0.000
K Er Pt
1 1 4
Cartesian
0.000 0.000 0.000 K
5.795 5.795 5.795 Er
2.898 2.898 2.898 Pt
4.828 4.828 2.898 Pt
4.828 2.898 4.828 Pt
2.898 4.828 4.828 Pt
```

Computed properties:
* ΔH_f (0 K): -650.7 meV per atom

***

A relaxed TiCrCuMo crystal, computed with GGA-PBE.

```
TiCrCuMo
1.0
0.000 3.046 3.046
3.046 0.000 3.046
3.046 3.046 0.000
Ti Cr Cu Mo
1 1 1 1
Cartesian
0.000 0.000 0.000 Ti
3.046 3.046 3.046 Cr
4.568 4.568 4.568 Cu
1.523 1.523 1.523 Mo
```

Computed properties:
* ΔH_f (0 K): 75.0 meV per atom

***

A relaxed Nd2Er3Ga4 crystal, computed with GGA-PBE.

```
Nd2Er3Ga4
1.0
3.422 -7.989 0.000
3.422 7.989 0.000
0.000 0.000 8.498
Nd Er Ga
4 6 8
Cartesian
3.422 6.289 7.812 Nd
3.422 1.699 3.563 Nd
3.422 -1.699 4.935 Nd
3.422 -6.289 0.686 Nd
0.000 0.000 4.249 Er
1.711 3.466 6.373 Er
1.711 -3.466 2.124 Er
3.422 0.000 0.000 Er
5.133 3.466 6.373 Er
5.133 -3.466 2.124 Er
3.422 5.054 4.607 Ga
1.711 0.580 6.373 Ga
1.711 -0.580 2.124 Ga
3.422 2.935 0.358 Ga
3.422 -2.935 8.140 Ga
5.133 0.580 6.373 Ga
5.133 -0.580 2.124 Ga
3.422 -5.054 3.891 Ga
```

Computed properties:
* ΔH_f (0 K): -429.4 meV per atom
* energy above the lowest structure with this stoichiometry: 0.153 eV per atom

***

A relaxed Li2AsAu crystal, computed with GGA-PBE.

```
Li2AsAu
1.0
-2.029 2.029 3.807
2.029 -2.029 3.807
2.029 2.029 -3.807
Li As Au
2 1 1
Cartesian
2.029 0.000 1.904 Li
0.000 2.029 1.904 Li
0.000 0.000 0.000 As
0.000 0.000 3.807 Au
```

Computed properties:
* ΔH_f (0 K): -532.3 meV per atom